DFT (GGA+U) results for a geometry-optimized BaTiNi2F structure.

DFT total energy: -7.47 eV/cell

Lattice parameters (Å, degrees): 4.7928 4.7928 6.2667 90.00 90.00 90.00
Space group P4/mmm (No. 123)
Asymmetric unit:
Ba 0.0000 0.0000 0.0000
Ti 0.0000 0.0000 0.5000
Ni 0.0000 0.5000 0.0000
F 0.5000 0.5000 0.5000